1.
The following is a DFT calculation (PBE) of a relaxed structure of ThIn2I6.

Values from the calculation:
Density of states at the Fermi level in states/eV/f.u.: 0.00
E in eV per atom: -3.371
Total magnetization in μB/cell: 0.000
Formation energy (no corrections) in eV/f.u.: -8.14

abc: 8.228 8.779 13.813
angles: 90.00 120.16 90.00
Space group P2_1/c (No. 14)
One atom of each set of equivalent atoms:
Th  0.000  0.000  0.000 x2
In  0.330  0.108  0.792 x4
I  0.086  0.049  0.242 x4
I  0.238  0.708  0.074 x4
I  0.356  0.184  0.051 x4

2.
The following is a DFT calculation (PBE) of a relaxed structure of ThInI6.

Values from the calculation:
Distance to the lowest polymorph of the same formula in meV/atom: 19
Density of states at the Fermi level in states/eV/f.u.: 4.92
E in eV per atom: -3.298
Total magnetization in μB/cell: 0.000
Formation energy (no corrections) in eV/f.u.: -6.93

abc: 7.7783 7.7783 21.1586
angles: 90.00 90.00 120.00
Space group R-3 (No. 148, hexagonal axes)
One atom of each set of equivalent atoms:
Th  0.0000  0.0000  0.0000 x3
In  0.0000  0.0000  0.5000 x3
I  0.0003  0.3250  0.9166 x18

3.
The following is a DFT calculation (PBE) of a relaxed structure of ThIn3I6.

Values from the calculation:
Density of states at the Fermi level in states/eV/f.u.: 2.14
E in eV per atom: -3.191
Total magnetization in μB/cell: 2.010
Formation energy (no corrections) in eV/f.u.: -6.98

abc: 8.455 8.775 14.264
angles: 90.00 117.49 90.00
Space group P2_1/c (No. 14)
One atom of each set of equivalent atoms:
Th  0.000  0.000  0.000 x2
In  0.359  0.219  0.825 x4
In  0.500  0.000  0.500 x2
I  0.022  0.012  0.221 x4
I  0.180  0.686  0.053 x4
I  0.376  0.153  0.089 x4

4.
The following is a DFT calculation (PBE) of a relaxed structure of ThIn6I12.

Values from the calculation:
Density of states at the Fermi level in states/eV/f.u.: 8.59
E in eV per atom: -2.835
Total magnetization in μB/cell: 0.000
Formation energy (no corrections) in eV/f.u.: -11.42

abc: 14.8584 14.8584 13.7151
angles: 90.00 90.00 120.00
Space group R-3 (No. 148, hexagonal axes)
One atom of each set of equivalent atoms:
Th  0.0000  0.0000  0.0000 x3
In  0.0050  0.7709  0.3829 x18
I  0.0120  0.8341  0.1266 x18
I  0.0128  0.8025  0.6246 x18